# 1
Compound: Na2PuNiO6
Source: Alexandria
Functional: PBE with a Hubbard U
Structure: relaxed

Lattice parameters (Å, degrees): 5.5457 5.6136 7.8815 90.00 90.31 90.00
Sites, in units of the cell vectors:
O (0.7855, 0.7948, 0.9601)
O (0.2145, 0.2052, 0.0399)
O (0.7145, 0.2948, 0.5399)
Na (0.9923, 0.0347, 0.7514)
Pu (0.0000, 0.5000, 0.5000)
Na (0.0077, 0.9653, 0.2486)
Ni (0.5000, 0.0000, 0.5000)
O (0.0793, 0.4791, 0.7451)
O (0.2973, 0.7160, 0.0419)
Ni (0.0000, 0.5000, 0.0000)
O (0.7972, 0.7840, 0.5419)
O (0.4207, 0.9791, 0.7549)
O (0.2028, 0.2160, 0.4581)
O (0.9207, 0.5209, 0.2549)
Na (0.5077, 0.5347, 0.7485)
Pu (0.5000, 0.0000, 0.0000)
Na (0.4923, 0.4653, 0.2515)
O (0.2855, 0.7052, 0.4601)
O (0.7027, 0.2840, 0.9581)
O (0.5793, 0.0209, 0.2451)

## Properties
**Fermi-level density of states**: 0.53 states/eV/atom
**Space-group type**: No. 14
**Calculated volume**: 12.268 A^3/atom
**Total DFT energy (no corrections)**: -134.0 eV for the cell shown

# 2
Compound: NaPu2NiO8
Source: Alexandria
Functional: PBE with a Hubbard U
Structure: relaxed

Lattice parameters (Å, degrees): 6.6421 6.6421 6.6421 126.24 126.24 79.50
Sites, in units of the cell vectors:
O (0.8098, 0.1086, 0.7012)
O (0.8882, 0.6423, 0.2459)
Na (0.0000, 0.0000, 0.0000)
Pu (0.7500, 0.2500, 0.5000)
O (0.8914, 0.5926, 0.7012)
O (0.8914, 0.1902, 0.2988)
Ni (0.2500, 0.7500, 0.5000)
O (0.3964, 0.6423, 0.7541)
Pu (0.5000, 0.5000, 0.0000)
O (0.3577, 0.6036, 0.2459)
O (0.4074, 0.1086, 0.2988)
O (0.3577, 0.1118, 0.7541)

## Properties
**Fermi-level density of states**: 1.10 states/eV/atom
**Space-group type**: No. 119
**Calculated volume**: 15.354 A^3/atom
**Total DFT energy (no corrections)**: -89.9 eV for the cell shown

# 3
Compound: Na4Pu3NiO12
Source: Alexandria
Functional: PBE with a Hubbard U
Structure: relaxed

Lattice parameters (Å, degrees): 7.1809 7.1809 7.1809 109.47 109.47 109.47
Sites, in units of the cell vectors:
Na (0.0000, 0.5000, 0.0000)
O (0.0000, 0.2610, 0.2610)
O (0.2610, 0.0000, 0.2610)
O (0.5000, 0.7500, 0.2500)
Pu (0.5000, 0.5000, 0.0000)
O (0.2610, 0.2610, 0.0000)
O (0.7500, 0.2500, 0.5000)
Na (0.0000, 0.0000, 0.5000)
Na (0.5000, 0.5000, 0.5000)
Ni (0.0000, 0.0000, 0.0000)
Na (0.5000, 0.0000, 0.0000)
O (0.7500, 0.5000, 0.2500)
O (0.5000, 0.2500, 0.7500)
O (0.7390, 0.7390, 0.0000)
Pu (0.0000, 0.5000, 0.5000)
O (0.2500, 0.5000, 0.7500)
Pu (0.5000, 0.0000, 0.5000)
O (0.7390, 0.0000, 0.7390)
O (0.0000, 0.7390, 0.7390)
O (0.2500, 0.7500, 0.5000)

## Properties
**Fermi-level density of states**: 0.16 states/eV/atom
**Space-group type**: No. 229
**Calculated volume**: 14.252 A^3/atom
**Total DFT energy (no corrections)**: -153.6 eV for the cell shown

# 4
Compound: RbNa2NiO2
Source: Alexandria
Functional: PBE with a Hubbard U
Structure: relaxed

Lattice parameters (Å, degrees): 5.8570 5.8570 5.8570 133.28 133.28 68.22
Sites, in units of the cell vectors:
Na (0.2500, 0.7500, 0.5000)
Na (0.7500, 0.2500, 0.5000)
O (0.3168, 0.3168, 0.0000)
Ni (0.5000, 0.5000, 0.0000)
Rb (0.0000, 0.0000, 0.0000)
O (0.6832, 0.6832, 0.0000)

## Properties
**Fermi-level density of states**: 1.03 states/eV/atom
**Space-group type**: No. 139
**Calculated volume**: 17.438 A^3/atom
**Total DFT energy (no corrections)**: -21.3 eV for the cell shown

# 5
Compound: Na3Ni2RhO6
Source: Alexandria
Functional: PBE with a Hubbard U
Structure: relaxed

Lattice parameters (Å, degrees): 5.3229 5.3229 5.5776 99.18 99.18 120.00
Sites, in units of the cell vectors:
Ni (0.6667, 0.3333, 0.0000)
Rh (0.0000, 0.0000, 0.0000)
Ni (0.3333, 0.6667, 0.0000)
O (0.7449, 0.7449, 0.2010)
Na (0.5000, 0.5000, 0.5000)
O (0.3899, 0.0672, 0.2018)
O (0.9328, 0.6101, 0.7982)
O (0.2551, 0.2551, 0.7990)
O (0.6101, 0.9328, 0.7982)
O (0.0672, 0.3899, 0.2018)
Na (0.1698, 0.8302, 0.5000)
Na (0.8302, 0.1698, 0.5000)

## Properties
**Fermi-level density of states**: 0.29 states/eV/atom
**Space-group type**: No. 12
**Calculated volume**: 10.808 A^3/atom
**Total DFT energy (no corrections)**: -60.6 eV for the cell shown

# 6
Compound: Na3NiRh3O8
Source: Alexandria
Functional: PBE with a Hubbard U
Structure: relaxed

Lattice parameters (Å, degrees): 6.1831 6.1833 6.4041 118.88 90.00 120.00
Sites, in units of the cell vectors:
Na (0.0000, 0.0000, 0.0000)
O (0.2324, 0.9586, 0.6910)
Na (0.5000, 0.5000, 0.0000)
Rh (0.5000, 0.5000, 0.5000)
O (0.7676, 0.0414, 0.3090)
O (0.7261, 0.9586, 0.6910)
O (0.2325, 0.4649, 0.6910)
O (0.7675, 0.5351, 0.3090)
Rh (0.0000, 0.5000, 0.5000)
Rh (0.5000, 0.0000, 0.5000)
Na (0.0000, 0.5000, 0.0000)
O (0.2739, 0.0414, 0.3090)
Ni (0.0000, 0.0000, 0.5000)
O (0.2659, 0.5319, 0.2979)
O (0.7341, 0.4681, 0.7021)

## Properties
**Fermi-level density of states**: 0.25 states/eV/atom
**Space-group type**: No. 166
**Calculated volume**: 11.734 A^3/atom
**Total DFT energy (no corrections)**: -84.4 eV for the cell shown

# 7
Compound: Na4NiRh3O8
Source: Alexandria
Functional: PBE with a Hubbard U
Structure: relaxed

Lattice parameters (Å, degrees): 6.2654 6.3591 6.2655 119.49 120.00 90.00
Sites, in units of the cell vectors:
Rh (0.5000, 0.5000, 0.0000)
Rh (0.0000, 0.5000, 0.5000)
O (0.2741, 0.2995, 0.0368)
O (0.7628, 0.2995, 0.0368)
O (0.2669, 0.3007, 0.5339)
O (0.2373, 0.7006, 0.4745)
Na (0.0000, 0.0000, 0.5000)
O (0.7259, 0.7005, 0.9632)
O (0.2372, 0.7005, 0.9632)
Na (0.5000, 0.0000, 0.0000)
Rh (0.5000, 0.5000, 0.5000)
Na (0.0000, 0.0000, 0.0000)
Ni (0.0000, 0.5000, 0.0000)
Na (0.5000, 0.0000, 0.5000)
O (0.7627, 0.2994, 0.5255)
O (0.7331, 0.6993, 0.4661)

## Properties
**Fermi-level density of states**: 0.42 states/eV/atom
**Space-group type**: No. 166
**Calculated volume**: 11.116 A^3/atom
**Total DFT energy (no corrections)**: -88.3 eV for the cell shown

# 8
Compound: Na2NiRuO4
Source: Alexandria
Functional: PBE with a Hubbard U
Structure: relaxed

Lattice parameters (Å, degrees): 5.1759 5.1759 5.1759 103.76 112.40 112.40
Sites, in units of the cell vectors:
O (0.0405, 0.1603, 0.5232)
Ru (0.0000, 0.5000, 0.5000)
O (0.6371, 0.4768, 0.5173)
O (0.9595, 0.4827, 0.1198)
O (0.3629, 0.8802, 0.8397)
Na (0.0000, 0.0000, 0.0000)
Ni (0.5000, 0.2500, 0.7500)
Na (0.5000, 0.7500, 0.2500)

## Properties
**Fermi-level density of states**: 0.32 states/eV/atom
**Space-group type**: No. 82
**Calculated volume**: 13.245 A^3/atom
**Total DFT energy (no corrections)**: -42.1 eV for the cell shown

# 9
Compound: Na4Ni3RuO8
Source: Alexandria
Functional: PBE with a Hubbard U
Structure: relaxed

Lattice parameters (Å, degrees): 6.1296 6.3960 6.1325 118.68 119.98 90.00
Sites, in units of the cell vectors:
O (0.7749, 0.2945, 0.5499)
O (0.2445, 0.2945, 0.0195)
O (0.2251, 0.7055, 0.4501)
Na (0.5000, 0.0000, 0.0000)
Ni (0.5000, 0.5000, 0.0000)
Ru (0.0000, 0.5000, 0.0000)
O (0.2700, 0.3102, 0.5400)
Na (0.5000, 0.0000, 0.5000)
O (0.7750, 0.2945, 0.0195)
Na (0.0000, 0.0000, 0.0000)
Ni (0.0000, 0.5000, 0.5000)
Ni (0.5000, 0.5000, 0.5000)
O (0.7555, 0.7055, 0.9805)
O (0.2250, 0.7055, 0.9805)
Na (0.0000, 0.0000, 0.5000)
O (0.7300, 0.6898, 0.4600)

## Properties
**Fermi-level density of states**: 0.31 states/eV/atom
**Space-group type**: No. 166
**Calculated volume**: 10.834 A^3/atom
**Total DFT energy (no corrections)**: -81.6 eV for the cell shown

# 10
Compound: NaNiRuO4
Source: Alexandria
Functional: PBE with a Hubbard U
Structure: relaxed

Lattice parameters (Å, degrees): 5.7540 5.9126 6.8712 90.00 114.48 90.00
Sites, in units of the cell vectors:
Ru (0.8048, 0.2500, 0.7072)
O (0.5549, 0.2500, 0.4239)
O (0.9702, 0.9853, 0.7228)
Na (0.3383, 0.7500, 0.8552)
Ni (0.2505, 0.2500, 0.4833)
Ru (0.1952, 0.7500, 0.2928)
O (0.5238, 0.2500, 0.7828)
Na (0.6617, 0.2500, 0.1448)
O (0.4762, 0.7500, 0.2172)
O (0.0298, 0.4853, 0.2772)
O (0.0298, 0.0147, 0.2772)
Ni (0.7495, 0.7500, 0.5167)
O (0.4451, 0.7500, 0.5761)
O (0.9702, 0.5147, 0.7228)

## Properties
**Fermi-level density of states**: 0.01 states/eV/atom
**Space-group type**: No. 11
**Calculated volume**: 15.196 A^3/atom
**Total DFT energy (no corrections)**: -78.6 eV for the cell shown

# 11
Compound: Na3Ni3RuO8
Source: Alexandria
Functional: PBE with a Hubbard U
Structure: relaxed

Lattice parameters (Å, degrees): 6.0702 6.0701 6.4616 118.03 90.00 120.00
Sites, in units of the cell vectors:
O (0.7562, 0.9770, 0.6979)
Ru (0.0000, 0.0000, 0.5000)
Na (0.5000, 0.5000, 0.0000)
Na (0.0000, 0.0000, 0.0000)
Ni (0.5000, 0.0000, 0.5000)
Ni (0.5000, 0.5000, 0.5000)
O (0.2438, 0.0230, 0.3021)
O (0.7272, 0.4544, 0.6814)
O (0.7792, 0.0230, 0.3021)
O (0.7792, 0.5585, 0.3020)
Ni (0.0000, 0.5000, 0.5000)
Na (0.0000, 0.5000, 0.0000)
O (0.2208, 0.4415, 0.6980)
O (0.2728, 0.5456, 0.3186)
O (0.2208, 0.9770, 0.6979)

## Properties
**Fermi-level density of states**: 0.23 states/eV/atom
**Space-group type**: No. 166
**Calculated volume**: 11.546 A^3/atom
**Total DFT energy (no corrections)**: -77.7 eV for the cell shown

# 12
Compound: Na2Ni2RuO6
Source: Alexandria
Functional: PBE with a Hubbard U
Structure: relaxed

Lattice parameters (Å, degrees): 5.2044 5.2044 5.7671 99.49 99.49 118.91
Sites, in units of the cell vectors:
O (0.2409, 0.2409, 0.3032)
O (0.0638, 0.3828, 0.6950)
Ni (0.3367, 0.6633, 0.5000)
O (0.9362, 0.6172, 0.3050)
Ru (0.0000, 0.0000, 0.5000)
O (0.6172, 0.9362, 0.3050)
Na (0.1745, 0.8255, 0.0000)
O (0.3828, 0.0638, 0.6950)
Ni (0.6633, 0.3367, 0.5000)
Na (0.8255, 0.1745, 0.0000)
O (0.7591, 0.7591, 0.6968)

## Properties
**Fermi-level density of states**: 0.47 states/eV/atom
**Space-group type**: No. 12
**Calculated volume**: 11.759 A^3/atom
**Total DFT energy (no corrections)**: -59.3 eV for the cell shown

# 13
Compound: Na3NiS2O8
Source: Alexandria
Functional: PBE with a Hubbard U
Structure: relaxed

Lattice parameters (Å, degrees): 5.4106 5.4106 6.7795 90.00 90.00 120.00
Sites, in units of the cell vectors:
Ni (0.0000, 0.0000, 0.5000)
S (0.3333, 0.6667, 0.2151)
O (0.6343, 0.8172, 0.2938)
Na (0.6667, 0.3333, 0.3315)
O (0.1828, 0.8172, 0.2938)
S (0.6667, 0.3333, 0.7849)
O (0.8172, 0.1828, 0.7062)
O (0.8172, 0.6343, 0.7062)
Na (0.3333, 0.6667, 0.6685)
O (0.3333, 0.6667, 0.9988)
O (0.6667, 0.3333, 0.0012)
O (0.3657, 0.1828, 0.7062)
O (0.1828, 0.3657, 0.2938)
Na (0.0000, 0.0000, 0.0000)

## Properties
**Fermi-level density of states**: 0.40 states/eV/atom
**Space-group type**: No. 164
**Calculated volume**: 12.277 A^3/atom
**Total DFT energy (no corrections)**: -74.5 eV for the cell shown

# 14
Compound: Na5NiSO2
Source: Alexandria
Functional: PBE with a Hubbard U
Structure: relaxed

Lattice parameters (Å, degrees): 4.5849 4.5849 8.1142 90.00 90.00 90.00
Sites, in units of the cell vectors:
Na (0.0000, 0.5000, 0.2562)
O (0.0000, 0.0000, 0.2188)
Na (0.5000, 0.0000, 0.2562)
Ni (0.0000, 0.0000, 0.0000)
Na (0.0000, 0.0000, 0.5000)
Na (0.0000, 0.5000, 0.7438)
S (0.5000, 0.5000, 0.5000)
O (0.0000, 0.0000, 0.7812)
Na (0.5000, 0.0000, 0.7438)

## Properties
**Fermi-level density of states**: 0.75 states/eV/atom
**Space-group type**: No. 123
**Calculated volume**: 18.952 A^3/atom
**Total DFT energy (no corrections)**: -31.9 eV for the cell shown

# 15
Compound: NaNiS2O8
Source: Alexandria
Functional: PBE with a Hubbard U
Structure: relaxed

Lattice parameters (Å, degrees): 4.9289 4.9289 7.2604 90.00 90.00 120.00
Sites, in units of the cell vectors:
O (0.9231, 0.6438, 0.3241)
O (0.6667, 0.3333, 0.0573)
Na (0.0000, 0.0000, 0.0000)
O (0.7206, 0.0769, 0.3241)
O (0.3333, 0.6667, 0.9427)
Ni (0.0000, 0.0000, 0.5000)
S (0.6667, 0.3333, 0.2617)
O (0.6438, 0.7206, 0.6759)
O (0.2794, 0.9231, 0.6759)
S (0.3333, 0.6667, 0.7383)
O (0.3562, 0.2794, 0.3241)
O (0.0769, 0.3562, 0.6759)

## Properties
**Fermi-level density of states**: 0.62 states/eV/atom
**Space-group type**: No. 147
**Calculated volume**: 12.729 A^3/atom
**Total DFT energy (no corrections)**: -67.6 eV for the cell shown

# 16
Compound: Na2NiSO4
Source: Alexandria
Functional: PBE with a Hubbard U
Structure: relaxed

Lattice parameters (Å, degrees): 5.3191 5.3191 5.3191 108.64 109.89 109.89
Sites, in units of the cell vectors:
O (0.0182, 0.5069, 0.2254)
O (0.7185, 0.5113, 0.4931)
O (0.9818, 0.2071, 0.4887)
S (0.0000, 0.5000, 0.5000)
O (0.2815, 0.7746, 0.7929)
Na (0.5000, 0.7500, 0.2500)
Ni (0.5000, 0.2500, 0.7500)
Na (0.0000, 0.0000, 0.0000)

## Properties
**Fermi-level density of states**: 0.24 states/eV/atom
**Space-group type**: No. 82
**Calculated volume**: 14.479 A^3/atom
**Total DFT energy (no corrections)**: -37.8 eV for the cell shown

# 17
Compound: NaNiSbO4
Source: Alexandria
Functional: PBE with a Hubbard U
Structure: relaxed

Lattice parameters (Å, degrees): 6.3192 6.3243 6.3035 119.89 90.00 119.97
Sites, in units of the cell vectors:
O (0.7084, 0.9890, 0.7445)
O (0.7188, 0.4375, 0.2500)
Na (0.1370, 0.2739, 0.8870)
O (0.2916, 0.0110, 0.2555)
Sb (0.5000, 0.0000, 0.5000)
O (0.2812, 0.5625, 0.7500)
Ni (0.5000, 0.5000, 0.5000)
O (0.7194, 0.0110, 0.2555)
O (0.2812, 0.5625, 0.3125)
Ni (0.0000, 0.5000, 0.5000)
Sb (0.5000, 0.0000, 0.0000)
O (0.7188, 0.4375, 0.6875)
Na (0.8630, 0.7261, 0.1130)
O (0.2806, 0.9890, 0.7445)

## Properties
**Fermi-level density of states**: 0.00 states/eV/atom
**Space-group type**: No. 74
**Calculated volume**: 12.750 A^3/atom
**Total DFT energy (no corrections)**: -76.0 eV for the cell shown

# 18
Compound: Na4Ni3Sb2O10
Source: Alexandria
Functional: PBE with a Hubbard U
Structure: relaxed

Lattice parameters (Å, degrees): 5.3174 5.7349 8.1755 84.55 71.02 73.03
Sites, in units of the cell vectors:
O (0.0332, 0.2916, 0.3896)
Sb (0.8969, 0.5000, 0.2062)
O (0.7797, 0.6944, 0.0000)
O (0.4228, 0.2916, 0.6104)
O (0.9668, 0.7084, 0.6104)
O (0.8434, 0.3072, 0.7967)
Na (0.8015, 0.0000, 0.3969)
Ni (0.3002, 0.5000, 0.3997)
O (0.3599, 0.6928, 0.7967)
Na (0.5944, 0.0000, 0.8111)
O (0.2203, 0.3056, 0.0000)
O (0.6401, 0.3072, 0.2033)
Sb (0.1031, 0.5000, 0.7938)
O (0.1566, 0.6928, 0.2033)
Na (0.1985, 0.0000, 0.6031)
O (0.5772, 0.7084, 0.3896)
Na (0.4056, 0.0000, 0.1889)
Ni (0.5000, 0.5000, 0.0000)
Ni (0.6998, 0.5000, 0.6003)

## Properties
**Fermi-level density of states**: 0.00 states/eV/atom
**Space-group type**: No. 12
**Calculated volume**: 11.868 A^3/atom
**Total DFT energy (no corrections)**: -99.1 eV for the cell shown

# 19
Compound: Na2NiSbO4
Source: Alexandria
Functional: PBE with a Hubbard U
Structure: relaxed

Lattice parameters (Å, degrees): 5.2769 5.2769 5.2769 103.67 112.45 112.45
Sites, in units of the cell vectors:
Na (0.0000, 0.0000, 0.0000)
O (0.6294, 0.4779, 0.5074)
Na (0.5000, 0.7500, 0.2500)
O (0.9705, 0.4926, 0.1221)
Sb (0.0000, 0.5000, 0.5000)
O (0.0295, 0.1515, 0.5221)
Ni (0.5000, 0.2500, 0.7500)
O (0.3706, 0.8779, 0.8485)

## Properties
**Fermi-level density of states**: 0.42 states/eV/atom
**Space-group type**: No. 82
**Calculated volume**: 14.032 A^3/atom
**Total DFT energy (no corrections)**: -39.1 eV for the cell shown